Arrangement w

Computed, not measured: crystalline TlAg2Ir at its relaxed geometry at the PBE level of DFT. Values from VASP.

Quantum ESPRESSO input file:
```
&SYSTEM
  ibrav = 0, nat = 4, ntyp = 3
/
ATOMIC_SPECIES
Tl 204.38 Tl.upf
Ag 107.87 Ag.upf
Ir 192.22 Ir.upf
ATOMIC_POSITIONS crystal
Tl 0.0000 0.0000 0.0000
Ag 0.0000 0.5000 0.5000
Ag 0.5000 0.0000 0.5000
Ir 0.5000 0.5000 0.0000
CELL_PARAMETERS angstrom
4.0328 0.0000 0.0000
0.0000 4.0328 0.0000
0.0000 0.0000 4.4446
```

Arrangement x

Computed, not measured: crystalline TlAg2Ir at its relaxed geometry at the PBE level of DFT. Values from VASP.

Quantum ESPRESSO input file:
```
&SYSTEM
  ibrav = 0, nat = 4, ntyp = 3
/
ATOMIC_SPECIES
Tl 204.38 Tl.upf
Ag 107.87 Ag.upf
Ir 192.22 Ir.upf
ATOMIC_POSITIONS crystal
Tl 0.0000 0.0000 0.0000
Ag 0.0000 0.5000 0.5000
Ag 0.5000 0.0000 0.5000
Ir 0.5000 0.5000 0.0000
CELL_PARAMETERS angstrom
2.7916 -4.2993 0.0000
2.7916 4.2993 0.0000
0.0000 0.0000 3.0788
```

Which of them is most stable? Easy: arrangement w.

Arrangement w

Computed, not measured: crystalline TlAg2Ir at its relaxed geometry at the PBE level of DFT. Values from VASP.

Quantum ESPRESSO input file:
```
&SYSTEM
  ibrav = 0, nat = 4, ntyp = 3
/
ATOMIC_SPECIES
Tl 204.38 Tl.upf
Ag 107.87 Ag.upf
Ir 192.22 Ir.upf
ATOMIC_POSITIONS crystal
Tl 0.0000 0.0000 0.0000
Ag 0.0000 0.5000 0.5000
Ag 0.5000 0.0000 0.5000
Ir 0.5000 0.5000 0.0000
CELL_PARAMETERS angstrom
3.2123 0.0000 0.0000
0.0000 4.6257 0.0000
0.0000 0.0000 4.9190
```

Arrangement x

Computed, not measured: crystalline TlAg2Ir at its relaxed geometry at the PBE level of DFT. Values from VASP.

Quantum ESPRESSO input file:
```
&SYSTEM
  ibrav = 0, nat = 4, ntyp = 3
/
ATOMIC_SPECIES
Tl 204.38 Tl.upf
Ag 107.87 Ag.upf
Ir 192.22 Ir.upf
ATOMIC_POSITIONS crystal
Tl 0.0000 0.0000 0.0000
Ag 0.2428 0.2428 0.2428
Ag 0.7572 0.7572 0.7572
Ir 0.5000 0.5000 0.5000
CELL_PARAMETERS angstrom
1.4949 0.8631 9.8835
-1.4949 0.8631 9.8835
0.0000 -1.7262 9.8835
```

Which of them is most stable? Easy: arrangement w.

Arrangement w

Computed, not measured: crystalline TlAg2Ir at its relaxed geometry at the PBE level of DFT. Values from VASP.

Quantum ESPRESSO input file:
```
&SYSTEM
  ibrav = 0, nat = 4, ntyp = 3
/
ATOMIC_SPECIES
Tl 204.38 Tl.upf
Ag 107.87 Ag.upf
Ir 192.22 Ir.upf
ATOMIC_POSITIONS crystal
Tl 0.0000 0.0000 0.0000
Ag 0.5000 0.5000 0.2700
Ag 0.5000 0.5000 0.7300
Ir 0.0000 0.0000 0.5000
CELL_PARAMETERS angstrom
1.5222 -2.4878 0.0000
1.5222 2.4878 0.0000
0.0000 0.0000 10.1043
```

Arrangement x

Computed, not measured: crystalline TlAg2Ir at its relaxed geometry at the PBE level of DFT. Values from VASP.

Quantum ESPRESSO input file:
```
&SYSTEM
  ibrav = 0, nat = 4, ntyp = 3
/
ATOMIC_SPECIES
Tl 204.38 Tl.upf
Ag 107.87 Ag.upf
Ir 192.22 Ir.upf
ATOMIC_POSITIONS crystal
Tl 0.0000 0.0000 0.0000
Ag 0.2500 0.2500 0.2500
Ag 0.7500 0.7500 0.7500
Ir 0.5000 0.5000 0.5000
CELL_PARAMETERS angstrom
0.0000 3.3189 3.3189
3.3189 0.0000 3.3189
3.3189 3.3189 0.0000
```

Which of them is most stable? Easy: arrangement w.

Arrangement w

Computed, not measured: crystalline TlAgIr2 at its relaxed geometry at the PBE level of DFT. Values from VASP.

Quantum ESPRESSO input file:
```
&SYSTEM
  ibrav = 0, nat = 4, ntyp = 3
/
ATOMIC_SPECIES
Tl 204.38 Tl.upf
Ag 107.87 Ag.upf
Ir 192.22 Ir.upf
ATOMIC_POSITIONS crystal
Tl 0.0000 0.0000 0.0000
Ag 0.5000 0.5000 0.0000
Ir 0.2500 0.7500 0.5000
Ir 0.7500 0.2500 0.5000
CELL_PARAMETERS angstrom
-2.0502 2.0502 4.0761
2.0502 -2.0502 4.0761
2.0502 2.0502 -4.0761
```

Arrangement x

Computed, not measured: crystalline TlAgIr2 at its relaxed geometry at the PBE level of DFT. Values from VASP.

Quantum ESPRESSO input file:
```
&SYSTEM
  ibrav = 0, nat = 4, ntyp = 3
/
ATOMIC_SPECIES
Tl 204.38 Tl.upf
Ag 107.87 Ag.upf
Ir 192.22 Ir.upf
ATOMIC_POSITIONS crystal
Tl 0.0000 0.0000 0.0000
Ag 0.5000 0.0000 0.5000
Ir 0.0000 0.5000 0.5000
Ir 0.5000 0.5000 0.0000
CELL_PARAMETERS angstrom
2.9236 0.0000 0.0000
0.0000 4.8115 0.0000
0.0000 0.0000 4.8933
```

Arrangement y

Computed, not measured: crystalline TlAgIr2 at its relaxed geometry at the PBE level of DFT. Values from VASP.

Quantum ESPRESSO input file:
```
&SYSTEM
  ibrav = 0, nat = 4, ntyp = 3
/
ATOMIC_SPECIES
Tl 204.38 Tl.upf
Ag 107.87 Ag.upf
Ir 192.22 Ir.upf
ATOMIC_POSITIONS crystal
Tl 0.0000 0.0000 0.0000
Ag 0.2950 0.7950 0.5000
Ir 0.5562 0.5562 0.0000
Ir 0.7580 0.2580 0.5000
CELL_PARAMETERS angstrom
-1.4346 2.4058 5.2822
1.4346 -2.4058 5.2822
1.4346 2.4058 -5.2822
```

Arrangement z

Computed, not measured: crystalline TlAgIr2 at its relaxed geometry at the PBE level of DFT. Values from VASP.

Quantum ESPRESSO input file:
```
&SYSTEM
  ibrav = 0, nat = 8, ntyp = 3
/
ATOMIC_SPECIES
Tl 204.38 Tl.upf
Ag 107.87 Ag.upf
Ir 192.22 Ir.upf
ATOMIC_POSITIONS crystal
Tl 0.0000 0.0000 0.0000
Tl 0.7500 0.2500 0.5000
Ag 0.2500 0.7500 0.5000
Ag 0.5000 0.5000 0.0000
Ir 0.1880 0.6250 0.0630
Ir 0.3750 0.4380 0.5630
Ir 0.5620 0.1250 0.9370
Ir 0.8750 0.8120 0.4370
CELL_PARAMETERS angstrom
-1.9992 1.9992 9.7899
1.9992 -1.9992 9.7899
1.9992 1.9992 -9.7899
```

Which of them is most stable? Easy: arrangement y.

Arrangement w

Computed, not measured: crystalline TlAgIr2 at its relaxed geometry at the PBE level of DFT. Values from VASP.

Quantum ESPRESSO input file:
```
&SYSTEM
  ibrav = 0, nat = 4, ntyp = 3
/
ATOMIC_SPECIES
Tl 204.38 Tl.upf
Ag 107.87 Ag.upf
Ir 192.22 Ir.upf
ATOMIC_POSITIONS crystal
Tl 0.0000 0.0000 0.0000
Ag 0.5000 0.5000 0.5000
Ir 0.2500 0.2500 0.2500
Ir 0.7500 0.7500 0.7500
CELL_PARAMETERS angstrom
0.0000 3.2481 3.2481
3.2481 0.0000 3.2481
3.2481 3.2481 0.0000
```

Arrangement x

Computed, not measured: crystalline TlAgIr2 at its relaxed geometry at the PBE level of DFT. Values from VASP.

Quantum ESPRESSO input file:
```
&SYSTEM
  ibrav = 0, nat = 4, ntyp = 3
/
ATOMIC_SPECIES
Tl 204.38 Tl.upf
Ag 107.87 Ag.upf
Ir 192.22 Ir.upf
ATOMIC_POSITIONS crystal
Tl 0.0000 0.0000 0.0000
Ag 0.0000 0.0000 0.5000
Ir 0.5000 0.5000 0.2557
Ir 0.5000 0.5000 0.7443
CELL_PARAMETERS angstrom
2.9696 0.0000 0.0000
0.0000 2.9696 0.0000
0.0000 0.0000 7.7929
```

Which of them is most stable? Easy: arrangement w.

Arrangement w

Computed, not measured: crystalline TlAgIr2 at its relaxed geometry at the PBE level of DFT. Values from VASP.

Quantum ESPRESSO input file:
```
&SYSTEM
  ibrav = 0, nat = 4, ntyp = 3
/
ATOMIC_SPECIES
Tl 204.38 Tl.upf
Ag 107.87 Ag.upf
Ir 192.22 Ir.upf
ATOMIC_POSITIONS crystal
Tl 0.0000 0.0000 0.0000
Ag 0.5000 0.5000 0.0000
Ir 0.0000 0.5000 0.5000
Ir 0.5000 0.0000 0.5000
CELL_PARAMETERS angstrom
4.0802 0.0000 0.0000
0.0000 4.0802 0.0000
0.0000 0.0000 4.1173
```

Arrangement x

Computed, not measured: crystalline TlAgIr2 at its relaxed geometry at the PBE level of DFT. Values from VASP.

Quantum ESPRESSO input file:
```
&SYSTEM
  ibrav = 0, nat = 4, ntyp = 3
/
ATOMIC_SPECIES
Tl 204.38 Tl.upf
Ag 107.87 Ag.upf
Ir 192.22 Ir.upf
ATOMIC_POSITIONS crystal
Tl 0.0000 0.0000 0.0000
Ag 0.5000 0.5000 0.3003
Ir 0.0000 0.0000 0.5524
Ir 0.5000 0.5000 0.7026
CELL_PARAMETERS angstrom
2.8510 0.0000 0.0000
0.0000 3.7078 0.0000
0.0000 0.0000 7.2240
```

Which of them is most stable? Easy: arrangement x.